Entry from Alexandria: a relaxed Mg2InTc crystal (PBE-GGA).

POSCAR file:
```
Mg2InTc
1.0
-2.812 2.473 0.045
-2.364 -2.640 -2.617
-1.704 -2.002 3.558
In Mg Tc
1 2 1
Direct
0.000 0.500 0.500
0.000 0.000 0.000
0.500 0.500 0.000
0.500 0.000 0.500
```

Computed properties:
density of states at the Fermi level: 3.57 states/eV/f.u.
E_tot: -3.93 eV/atom
size of the total moment: 0.0000 μB/atom